The following is a DFT calculation (GGA-PBE) of a relaxed Tb8Y3 crystal.

Summary:
* E: -0.3757 Ry/atom
* magnetic moment: 0.000 μB/f.u.
* D(E_F): 1.395 states/eV per atom
* crystal system: monoclinic
* space-group type: C2/m
* ΔE_f: 0.02 eV/atom

abc: 3.562 7.967 14.684
angles: 119.09 90.00 102.92
Positions (direct):
Tb  0.728  0.456  0.091
Tb  0.272  0.544  0.909
Tb  0.546  0.091  0.818
Tb  0.454  0.909  0.182
Tb  0.819  0.638  0.728
Tb  0.181  0.362  0.272
Tb  0.637  0.274  0.454
Tb  0.363  0.726  0.546
Y  0.000  0.000  0.000
Y  0.909  0.818  0.364
Y  0.091  0.182  0.636

***

The following is a DFT calculation (GGA-PBE) of a relaxed InHgPd3 crystal.

Summary:
* E: -0.2353 Ry/atom
* magnetic moment: 0.000 μB/f.u.
* D(E_F): 0.646 states/eV per atom
* crystal system: cubic
* space-group type: Pm-3m
* ΔE_f: 0.52 eV/atom

abc: 4.960 4.960 4.960
angles: 90.00 90.00 90.00
Positions (direct):
Hg  0.500  0.500  0.500
Pd  0.000  0.500  0.000
Pd  0.000  0.000  0.500
Pd  0.500  0.000  0.000
In  0.000  0.000  0.000

***

> The lowest ΔE_f belongs to which entry?

Tb8Y3

***

> D(E_F) of number 1 (Tb8Y3)?

1.395 states/eV per atom